Record 1
Here is a relaxed structure of BC2S from the Alexandria database. Energies are from GGA-PBE.

Computed properties:
Offset from the most stable computed form, meV/atom: 264.9
Uncorrected formation energy, eV per atom: 0.658

Cell lengths 2.546, 3.289, 9.837 Å; angles 90.00, 90.00, 90.00 degrees
Positions (direct):
C (0.500, 0.000, 0.984)
S (0.500, 0.500, 0.237)
C (0.000, 0.000, 0.919)
C (0.500, 0.500, 0.419)
B (0.500, 0.000, 0.143)
S (0.000, 0.000, 0.737)
B (0.000, 0.500, 0.643)
C (0.000, 0.500, 0.484)



Record 2
Here is a relaxed structure of BCS2 from the Alexandria database. Energies are from GGA-PBE.

Computed properties:
Offset from the most stable computed form, meV/atom: 65.1
Uncorrected formation energy, eV per atom: 1.200

Cell lengths 5.185, 5.185, 5.127 Å; angles 59.62, 59.62, 90.00 degrees
Positions (direct):
S (0.593, 0.125, 0.250)
C (0.750, 0.250, 0.500)
C (0.000, 0.000, 0.000)
B (0.250, 0.750, 0.500)
S (0.375, 0.407, 0.750)
B (0.500, 0.500, 0.000)
S (0.157, 0.625, 0.250)
S (0.875, 0.843, 0.750)



Record 3
Here is a relaxed structure of BC2S from the Alexandria database. Energies are from GGA-PBE.

Computed properties:
Offset from the most stable computed form, meV/atom: 329.5
Uncorrected formation energy, eV per atom: 0.722

Cell lengths 3.378, 4.008, 4.206 Å; angles 67.39, 75.70, 80.82 degrees
Positions (direct):
B (0.523, 0.169, 0.170)
S (0.164, 0.372, 0.828)
C (0.528, 0.769, 0.303)
C (0.484, 0.428, 0.377)



Record 4
Here is a relaxed structure of BC2S from the Alexandria database. Energies are from GGA-PBE.

Computed properties:
Offset from the most stable computed form, meV/atom: 137.4
Uncorrected formation energy, eV per atom: 0.530

Cell lengths 2.751, 2.751, 6.015 Å; angles 90.00, 90.00, 120.00 degrees
Each line ends with the local moment (μB).
Positions (direct):
C (0.000, 0.000, 0.624)  0.07
B (0.333, 0.667, 0.940)  0.01
S (0.667, 0.333, 0.094)  0.01
C (0.333, 0.667, 0.664)  0.00



Record 5
Here is a relaxed structure of BC2S from the Alexandria database. Energies are from GGA-PBE.

Computed properties:
Offset from the most stable computed form, meV/atom: 377.4
Uncorrected formation energy, eV per atom: 0.770

Cell lengths 2.947, 4.321, 5.033 Å; angles 86.21, 83.17, 75.79 degrees
Positions (direct):
B (0.468, 0.161, 0.504)
S (0.508, 0.788, 0.778)
C (0.641, 0.479, 0.582)
C (0.948, 0.250, 0.436)



Record 6
Here is a relaxed structure of BC2S from the Alexandria database. Energies are from GGA-PBE.

Computed properties:
Offset from the most stable computed form, meV/atom: 293.8
Uncorrected formation energy, eV per atom: 0.687

Cell lengths 2.715, 4.921, 5.098 Å; angles 114.85, 105.29, 90.26 degrees
Positions (direct):
C (0.063, 0.673, 0.501)
C (0.197, 0.938, 0.765)
B (0.764, 0.073, 0.900)
S (0.452, 0.455, 0.283)